1.
DFT (PBE) results for a relaxed Ni15Pb crystal.

abc: 6.679 2.619 33.523
angles: 90.00 90.00 90.00
Element x y z (fractional)
Ni 0.625 0.500 0.555
Ni 0.625 0.500 0.776
Ni 0.125 0.500 0.555
Ni 0.124 0.500 0.334
Ni 0.625 0.500 0.481
Ni 0.875 0.000 0.296
Ni 0.625 0.500 0.408
Ni 0.874 0.000 0.741
Ni 0.125 0.500 0.704
Ni 0.375 0.000 0.518
Ni 0.876 0.000 0.666
Ni 0.875 0.000 0.592
Ni 0.375 0.000 0.297
Ni 0.875 0.000 0.371
Ni 0.125 0.500 0.482
Ni 0.625 0.500 0.629
Ni 0.375 0.000 0.592
Ni 0.626 0.500 0.334
Ni 0.625 0.500 0.703
Ni 0.625 0.500 0.259
Ni 0.125 0.500 0.259
Ni 0.875 0.000 0.445
Ni 0.375 0.000 0.445
Ni 0.375 0.000 0.371
Ni 0.125 0.500 0.629
Ni 0.125 0.500 0.408
Ni 0.374 0.000 0.666
Ni 0.375 0.000 0.224
Ni 0.875 0.000 0.518
Ni 0.376 0.000 0.741
Pb 0.875 0.000 0.204
Pb 0.125 0.500 0.796

Output
The magnetic moment comes out at 0.218 μB per atom. The energy above the most stable polymorph in this dataset comes out at 0.113 eV/atom. As for the total energy: -5.280 eV per atom.

=====

2.
DFT (PBE) results for a relaxed Ni2Pb crystal.

abc: 5.480 4.159 7.990
angles: 90.00 90.00 90.00
Element x y z (fractional)
Ni 0.167 0.250 0.432
Ni 0.667 0.250 0.068
Ni 0.942 0.750 0.240
Ni 0.333 0.750 0.932
Ni 0.558 0.250 0.740
Ni 0.833 0.750 0.568
Ni 0.442 0.750 0.260
Ni 0.058 0.250 0.760
Pb 0.810 0.750 0.897
Pb 0.690 0.250 0.397
Pb 0.190 0.250 0.103
Pb 0.310 0.750 0.603

Output
The magnetic moment comes out at 0.000 μB per atom. As for the total energy: -4.736 eV per atom.

=====

3.
DFT (PBE) results for a relaxed Ni2Pb crystal.

abc: 5.219 5.219 4.440
angles: 90.00 90.00 90.00
Element x y z (fractional)
Ni 0.165 0.835 0.500
Ni 0.335 0.335 0.000
Ni 0.665 0.665 0.000
Ni 0.835 0.165 0.500
Pb 0.000 0.000 0.000
Pb 0.500 0.500 0.500

Output
The magnetic moment comes out at 0.000 μB per atom. As for the total energy: -4.101 eV per atom.

=====

4.
DFT (PBE) results for a relaxed NiPb3 crystal.

abc: 7.196 7.196 4.585
angles: 90.00 90.00 120.00
Element x y z (fractional)
Pb 0.815 0.630 0.750
Pb 0.370 0.185 0.750
Pb 0.630 0.815 0.250
Pb 0.815 0.185 0.750
Pb 0.185 0.370 0.250
Pb 0.185 0.815 0.250
Ni 0.667 0.333 0.250
Ni 0.333 0.667 0.750

Output
The magnetic moment comes out at 0.000 μB per atom. As for the total energy: -3.880 eV per atom.

=====

5.
DFT (PBE) results for a relaxed NiPb3 crystal.

abc: 4.685 4.685 4.685
angles: 90.00 90.00 90.00
Element x y z (fractional)
Pb 0.000 0.500 0.500
Pb 0.500 0.500 0.000
Pb 0.500 0.000 0.500
Ni 0.000 0.000 0.000

Output
The magnetic moment comes out at 0.001 μB per atom. As for the total energy: -3.820 eV per atom.

=====

6.
DFT (PBE) results for a relaxed NiPd2Pb crystal.

abc: 4.512 4.512 4.512
angles: 60.00 60.00 60.00
Element x y z (fractional)
Pd 0.750 0.750 0.750
Pd 0.000 0.000 0.000
Ni 0.250 0.250 0.250
Pb 0.500 0.500 0.500

Output
The magnetic moment comes out at 0.003 μB per atom. As for the total energy: -4.973 eV per atom.

=====

7.
DFT (PBE) results for a relaxed ScNiPdPb crystal.

abc: 4.629 4.629 4.629
angles: 60.00 60.00 60.00
Element x y z (fractional)
Pb 0.000 0.000 0.000
Ni 0.750 0.750 0.750
Pd 0.250 0.250 0.250
Sc 0.500 0.500 0.500

Output
The magnetic moment comes out at 0.000 μB per atom. The energy above the most stable polymorph in this dataset comes out at 0.000 eV/atom. As for the total energy: -5.655 eV per atom.

=====

8.
DFT (PBE) results for a relaxed ScNiPdPb crystal.

abc: 4.646 4.646 4.646
angles: 60.00 60.00 60.00
Element x y z (fractional)
Pb 0.000 0.000 0.000
Sc 0.250 0.250 0.250
Pd 0.500 0.500 0.500
Ni 0.750 0.750 0.750

Output
The magnetic moment comes out at 0.000 μB per atom. The energy above the most stable polymorph in this dataset comes out at 0.175 eV/atom. As for the total energy: -5.480 eV per atom.

=====

9.
DFT (PBE) results for a relaxed Sm3Ni2PdPb3 crystal.

abc: 7.568 7.568 4.122
angles: 90.00 90.00 120.00
Element x y z (fractional)
Sm 0.000 0.590 0.500
Sm 0.410 0.410 0.500
Sm 0.590 0.000 0.500
Pb 0.267 0.000 0.000
Pb 0.000 0.267 0.000
Pb 0.733 0.733 0.000
Ni 0.333 0.667 0.000
Ni 0.667 0.333 0.000
Pd 0.000 0.000 0.500

Output
The magnetic moment comes out at 0.000 μB per atom. As for the total energy: -5.130 eV per atom.

=====

10.
DFT (PBE) results for a relaxed Tb3NiPd2Pb3 crystal.

abc: 7.813 7.813 3.839
angles: 90.00 90.00 120.00
Element x y z (fractional)
Tb 0.601 0.000 0.000
Tb 0.399 0.399 0.000
Tb 0.000 0.601 0.000
Ni 0.000 0.000 0.000
Pb 0.257 0.000 0.500
Pb 0.743 0.743 0.500
Pb 0.000 0.257 0.500
Pd 0.333 0.667 0.500
Pd 0.667 0.333 0.500

Output
The magnetic moment comes out at 0.000 μB per atom. As for the total energy: -5.205 eV per atom.

=====

11.
DFT (PBE) results for a relaxed NiPdPbW crystal.

abc: 4.534 4.534 4.534
angles: 60.00 60.00 60.00
Element x y z (fractional)
Pd 0.250 0.250 0.250
Ni 0.750 0.750 0.750
Pb 0.000 0.000 0.000
W 0.500 0.500 0.500

Output
The magnetic moment comes out at 0.315 μB per atom. As for the total energy: -6.286 eV per atom.

=====

12.
DFT (PBE) results for a relaxed Y3NiPd2Pb3 crystal.

abc: 7.819 7.819 3.829
angles: 90.00 90.00 120.00
Element x y z (fractional)
Pb 0.000 0.258 0.000
Pb 0.742 0.742 0.000
Pb 0.258 0.000 0.000
Ni 0.000 0.000 0.500
Y 0.000 0.600 0.500
Y 0.400 0.400 0.500
Y 0.600 0.000 0.500
Pd 0.333 0.667 0.000
Pd 0.667 0.333 0.000

Output
The magnetic moment comes out at 0.000 μB per atom. As for the total energy: -5.820 eV per atom.